DFT (PBE-GGA) results for an optimized crystal structure of KLi2CuAg.

raw total energy = -1.9416 eV per atom
crystal system = tetragonal
formation energy = 0.433 eV/atom
density of states at the Fermi level = 0.516 states/eV per atom

a = 5.030 Å, b = 5.030 Å, c = 6.232 Å
α = 90.00°, β = 90.00°, γ = 90.00°
Space group P4/mmm (No. 123)
Asymmetric unit:
K: 0.000 0.000 0.000 [1 per cell]
Li: 0.000 0.500 0.500 [2 per cell]
Cu: 0.500 0.500 0.000 [1 per cell]
Ag: 0.000 0.000 0.500 [1 per cell]